# 1
Computed, not measured: Tl2Au2I after structural relaxation at the PBE level of DFT.

E above lowest polymorph = 0.000 eV per atom
Density of states at the Fermi level = 2.6 states/eV per cell
Space-group type = P4/mbm
Calculated volume = 27.740 Å³ per atom
Total magnetic moment = 0.000 μB per atom

```
data_Tl2Au2I
_space_group_name_H-M_alt 'P 1'
_space_group_IT_number 1
_cell_length_a 8.254
_cell_length_b 8.254
_cell_length_c 4.071
_cell_angle_alpha 90.00
_cell_angle_beta 90.00
_cell_angle_gamma 90.00
loop_
_space_group_symop_operation_xyz
'x,y,z'
loop_
_atom_site_label
_atom_site_type_symbol
_atom_site_fract_x
_atom_site_fract_y
_atom_site_fract_z
Tl1 Tl 0.181 0.319 0.000
Tl2 Tl 0.319 0.819 0.000
Tl3 Tl 0.681 0.181 0.000
Tl4 Tl 0.819 0.681 0.000
Au1 Au 0.117 0.617 0.500
Au2 Au 0.383 0.117 0.500
Au3 Au 0.617 0.883 0.500
Au4 Au 0.883 0.383 0.500
I1 I 0.000 0.000 0.500
I2 I 0.500 0.500 0.500
```



# 2
Computed, not measured: TlAu2I4 after structural relaxation at the PBE level of DFT.

E above lowest polymorph = 0.000 eV per atom
Density of states at the Fermi level = 5.3 states/eV per cell
Space-group type = P-1
Calculated volume = 44.735 Å³ per atom
Total magnetic moment = 0.000 μB per atom

```
data_TlAu2I4
_space_group_name_H-M_alt 'P 1'
_space_group_IT_number 1
_cell_length_a 8.615
_cell_length_b 8.619
_cell_length_c 10.434
_cell_angle_alpha 104.78
_cell_angle_beta 101.66
_cell_angle_gamma 116.22
loop_
_space_group_symop_operation_xyz
'x,y,z'
loop_
_atom_site_label
_atom_site_type_symbol
_atom_site_fract_x
_atom_site_fract_y
_atom_site_fract_z
Tl1 Tl 0.209 0.460 0.251
Tl2 Tl 0.791 0.540 0.749
Au1 Au 0.000 0.000 0.000
Au2 Au 0.000 0.000 0.500
Au3 Au 0.000 0.500 0.500
Au4 Au 0.500 0.000 0.000
I1 I 0.207 0.704 0.020
I2 I 0.217 0.843 0.530
I3 I 0.315 0.190 0.973
I4 I 0.317 0.313 0.521
I5 I 0.683 0.687 0.479
I6 I 0.685 0.810 0.027
I7 I 0.783 0.157 0.470
I8 I 0.793 0.296 0.980
```



# 3
Computed, not measured: Tl2AuI after structural relaxation at the PBE level of DFT.

E above lowest polymorph = 0.058 eV per atom
Density of states at the Fermi level = 0.9 states/eV per cell
Space-group type = P4/mmm
Calculated volume = 31.492 Å³ per atom
Total magnetic moment = 0.000 μB per atom

```
data_Tl2AuI
_space_group_name_H-M_alt 'P 1'
_space_group_IT_number 1
_cell_length_a 3.970
_cell_length_b 3.970
_cell_length_c 7.993
_cell_angle_alpha 90.00
_cell_angle_beta 90.00
_cell_angle_gamma 90.00
loop_
_space_group_symop_operation_xyz
'x,y,z'
loop_
_atom_site_label
_atom_site_type_symbol
_atom_site_fract_x
_atom_site_fract_y
_atom_site_fract_z
Tl1 Tl 0.000 0.000 0.219
Tl2 Tl 0.000 0.000 0.781
Au1 Au 0.500 0.500 0.000
I1 I 0.500 0.500 0.500
```



# 4
Computed, not measured: TlAu2I6 after structural relaxation at the PBE level of DFT.

Density of states at the Fermi level = 10.0 states/eV per cell
Space-group type = C2/c
Raw total energy = -2.132 eV/atom
Calculated volume = 42.688 Å³ per atom
Total magnetic moment = 0.000 μB per atom

```
data_TlAu2I6
_space_group_name_H-M_alt 'P 1'
_space_group_IT_number 1
_cell_length_a 10.462
_cell_length_b 10.462
_cell_length_c 8.167
_cell_angle_alpha 101.07
_cell_angle_beta 101.07
_cell_angle_gamma 61.88
loop_
_space_group_symop_operation_xyz
'x,y,z'
loop_
_atom_site_label
_atom_site_type_symbol
_atom_site_fract_x
_atom_site_fract_y
_atom_site_fract_z
Tl1 Tl 0.118 0.882 0.750
Tl2 Tl 0.882 0.118 0.250
Au1 Au 0.348 0.349 0.671
Au2 Au 0.349 0.348 0.171
Au3 Au 0.651 0.652 0.829
Au4 Au 0.652 0.651 0.329
I1 I 0.140 0.140 0.069
I2 I 0.140 0.140 0.569
I3 I 0.180 0.527 0.423
I4 I 0.180 0.527 0.924
I5 I 0.473 0.820 0.077
I6 I 0.473 0.820 0.576
I7 I 0.527 0.180 0.424
I8 I 0.527 0.180 0.923
I9 I 0.820 0.473 0.076
I10 I 0.820 0.473 0.577
I11 I 0.860 0.860 0.431
I12 I 0.860 0.860 0.931
```



# 5
Computed, not measured: Tl3Au2I8 after structural relaxation at the PBE level of DFT.

Density of states at the Fermi level = 9.3 states/eV per cell
Space-group type = R-3m
Raw total energy = -2.193 eV/atom
Calculated volume = 42.020 Å³ per atom
Total magnetic moment = 0.000 μB per atom

```
data_Tl3Au2I8
_space_group_name_H-M_alt 'P 1'
_space_group_IT_number 1
_cell_length_a 11.472
_cell_length_b 11.472
_cell_length_c 11.472
_cell_angle_alpha 39.35
_cell_angle_beta 39.35
_cell_angle_gamma 39.35
loop_
_space_group_symop_operation_xyz
'x,y,z'
loop_
_atom_site_label
_atom_site_type_symbol
_atom_site_fract_x
_atom_site_fract_y
_atom_site_fract_z
Tl1 Tl 0.000 0.000 0.000
Tl2 Tl 0.205 0.205 0.205
Tl3 Tl 0.795 0.795 0.795
Au1 Au 0.393 0.393 0.393
Au2 Au 0.607 0.607 0.607
I1 I 0.207 0.743 0.743
I2 I 0.257 0.257 0.793
I3 I 0.257 0.793 0.257
I4 I 0.309 0.309 0.309
I5 I 0.691 0.691 0.691
I6 I 0.743 0.207 0.743
I7 I 0.743 0.743 0.207
I8 I 0.793 0.257 0.257
```



# 6
Computed, not measured: Tl2AuI after structural relaxation at the PBE level of DFT.

E above lowest polymorph = 0.094 eV per atom
Density of states at the Fermi level = 0.1 states/eV per cell
Space-group type = Fm-3m
Calculated volume = 32.568 Å³ per atom
Total magnetic moment = 0.000 μB per atom

```
data_Tl2AuI
_space_group_name_H-M_alt 'P 1'
_space_group_IT_number 1
_cell_length_a 5.690
_cell_length_b 5.690
_cell_length_c 5.690
_cell_angle_alpha 60.00
_cell_angle_beta 60.00
_cell_angle_gamma 60.00
loop_
_space_group_symop_operation_xyz
'x,y,z'
loop_
_atom_site_label
_atom_site_type_symbol
_atom_site_fract_x
_atom_site_fract_y
_atom_site_fract_z
Tl1 Tl 0.250 0.250 0.250
Tl2 Tl 0.750 0.750 0.750
Au1 Au 0.000 0.000 0.000
I1 I 0.500 0.500 0.500
```



Please write out number 5 again, unchanged.
Computed, not measured: Tl3Au2I8 after structural relaxation at the PBE level of DFT.

Density of states at the Fermi level = 9.3 states/eV per cell
Space-group type = R-3m
Raw total energy = -2.193 eV/atom
Calculated volume = 42.020 Å³ per atom
Total magnetic moment = 0.000 μB per atom

```
data_Tl3Au2I8
_space_group_name_H-M_alt 'P 1'
_space_group_IT_number 1
_cell_length_a 11.472
_cell_length_b 11.472
_cell_length_c 11.472
_cell_angle_alpha 39.35
_cell_angle_beta 39.35
_cell_angle_gamma 39.35
loop_
_space_group_symop_operation_xyz
'x,y,z'
loop_
_atom_site_label
_atom_site_type_symbol
_atom_site_fract_x
_atom_site_fract_y
_atom_site_fract_z
Tl1 Tl 0.000 0.000 0.000
Tl2 Tl 0.205 0.205 0.205
Tl3 Tl 0.795 0.795 0.795
Au1 Au 0.393 0.393 0.393
Au2 Au 0.607 0.607 0.607
I1 I 0.207 0.743 0.743
I2 I 0.257 0.257 0.793
I3 I 0.257 0.793 0.257
I4 I 0.309 0.309 0.309
I5 I 0.691 0.691 0.691
I6 I 0.743 0.207 0.743
I7 I 0.743 0.743 0.207
I8 I 0.793 0.257 0.257
```